(1)
First-principles (PBE) data for a geometry-optimized MgBePtRh structure, as listed in Alexandria.

Properties
**Total DFT energy (no corrections)**: -0.389 Ry per atom

```
data_MgBePtRh
_chemical_formula_sum 'Mg4 Be4 Pt4 Rh4'
_cell_length_a 5.955
_cell_length_b 5.955
_cell_length_c 5.955
_cell_angle_alpha 90.00
_cell_angle_beta 90.00
_cell_angle_gamma 90.00
_symmetry_space_group_name_H-M 'F -4 3 m'
_symmetry_Int_Tables_number 216
_symmetry_space_group_name_Hall 'F -4 2 3'
loop_
_atom_site_label
_atom_site_fract_x
_atom_site_fract_y
_atom_site_fract_z
Mg1 0.000 0.000 0.000
Be1 0.000 0.000 0.500
Pt1 0.250 0.250 0.750
Rh1 0.250 0.250 0.250
```

(2)
First-principles (PBE) data for a geometry-optimized ReGeB2As structure, as listed in Alexandria.

Properties
**Total DFT energy (no corrections)**: -0.382 Ry per atom

```
data_ReGeB2As
_chemical_formula_sum 'Re1 Ge1 B2 As1'
_cell_length_a 3.947
_cell_length_b 3.947
_cell_length_c 5.083
_cell_angle_alpha 90.00
_cell_angle_beta 90.00
_cell_angle_gamma 90.00
_symmetry_space_group_name_H-M 'P 4/m m m'
_symmetry_Int_Tables_number 123
_symmetry_space_group_name_Hall '-P 4 2'
loop_
_atom_site_label
_atom_site_fract_x
_atom_site_fract_y
_atom_site_fract_z
Re1 0.000 0.000 0.000
Ge1 0.500 0.500 0.000
B1 0.000 0.500 0.500
As1 0.000 0.000 0.500
```

(3)
First-principles (PBE) data for a geometry-optimized Tm4SeS5 structure, as listed in Alexandria.

Properties
**Total DFT energy (no corrections)**: -0.453 Ry per atom

```
data_Tm4SeS5
_chemical_formula_sum 'Tm8 Se2 S10'
_cell_length_a 16.962
_cell_length_b 3.932
_cell_length_c 8.022
_cell_angle_alpha 90.00
_cell_angle_beta 106.69
_cell_angle_gamma 90.00
_symmetry_space_group_name_H-M 'C 1 2/m 1'
_symmetry_Int_Tables_number 12
loop_
_symmetry_equiv_pos_as_xyz
'x,y,z'
'-x,-y,-z'
'-x,y,-z'
'x,-y,z'
'x+1/2,y+1/2,z'
'-x+1/2,-y+1/2,-z'
'-x+1/2,y+1/2,-z'
'x+1/2,-y+1/2,z'
loop_
_atom_site_label
_atom_site_fract_x
_atom_site_fract_y
_atom_site_fract_z
Tm1 0.004 0.000 0.269
Tm2 0.184 0.500 0.128
Se1 0.000 0.500 0.000
S1 0.000 0.500 0.500
S2 0.161 0.000 0.875
S3 0.162 0.000 0.330
```

(4)
First-principles (PBE) data for a geometry-optimized PmPrTh2Rh4 structure, as listed in Alexandria.

Properties
**Total DFT energy (no corrections)**: -0.547 Ry per atom

```
data_PmPrTh2Rh4
_chemical_formula_sum 'Pm4 Pr4 Th8 Rh16'
_cell_length_a 7.887
_cell_length_b 11.461
_cell_length_c 8.516
_cell_angle_alpha 90.00
_cell_angle_beta 90.00
_cell_angle_gamma 90.00
_symmetry_space_group_name_H-M 'F m m 2'
_symmetry_Int_Tables_number 42
_symmetry_space_group_name_Hall 'F 2 -2'
loop_
_atom_site_label
_atom_site_fract_x
_atom_site_fract_y
_atom_site_fract_z
Pm1 0.000 0.000 0.000
Pr1 0.000 0.000 0.440
Th1 0.250 0.250 0.200
Rh1 0.000 0.244 0.948
Rh2 0.208 0.000 0.720
```

(5)
First-principles (PBE) data for a geometry-optimized Li5In4Au structure, as listed in Alexandria.

Properties
**Total DFT energy (no corrections)**: -0.200 Ry per atom

```
data_Li5In4Au
_chemical_formula_sum 'Li5 In4 Au1'
_cell_length_a 3.262
_cell_length_b 3.262
_cell_length_c 17.646
_cell_angle_alpha 90.00
_cell_angle_beta 90.00
_cell_angle_gamma 90.00
_symmetry_space_group_name_H-M 'P 4/m m m'
_symmetry_Int_Tables_number 123
_symmetry_space_group_name_Hall '-P 4 2'
loop_
_atom_site_label
_atom_site_fract_x
_atom_site_fract_y
_atom_site_fract_z
Li1 0.000 0.000 0.000
Li2 0.000 0.000 0.214
Li3 0.000 0.000 0.421
In1 0.500 0.500 0.107
In2 0.500 0.500 0.321
Au1 0.500 0.500 0.500
```

(6)
First-principles (PBE) data for a geometry-optimized ThRe2N8 structure, as listed in Alexandria.

Properties
**Total DFT energy (no corrections)**: -0.592 Ry per atom

```
data_ThRe2N8
_chemical_formula_sum 'Th1 Re2 N8'
_cell_length_a 4.701
_cell_length_b 4.701
_cell_length_c 6.129
_cell_angle_alpha 90.00
_cell_angle_beta 90.00
_cell_angle_gamma 90.00
_symmetry_space_group_name_H-M 'P 4/m m m'
_symmetry_Int_Tables_number 123
_symmetry_space_group_name_Hall '-P 4 2'
loop_
_atom_site_label
_atom_site_fract_x
_atom_site_fract_y
_atom_site_fract_z
Th1 0.000 0.000 0.000
Re1 0.000 0.500 0.500
N1 0.252 0.252 0.294
```

(7)
First-principles (PBE) data for a geometry-optimized Tm4CuHgRu2 structure, as listed in Alexandria.

Properties
**Total DFT energy (no corrections)**: -0.405 Ry per atom

```
data_Tm4CuHgRu2
_chemical_formula_sum 'Tm12 Cu3 Hg3 Ru6'
_cell_length_a 4.8786
_cell_length_b 4.8786
_cell_length_c 23.9246
_cell_angle_alpha 90.00
_cell_angle_beta 90.00
_cell_angle_gamma 120.00
_symmetry_space_group_name_H-M 'R -3 m'
_symmetry_Int_Tables_number 166
_symmetry_space_group_name_Hall '-R 3 2"'
loop_
_atom_site_label
_atom_site_fract_x
_atom_site_fract_y
_atom_site_fract_z
Tm1 0.0000 0.0000 0.1205
Tm2 0.0000 0.0000 0.3713
Cu1 0.0000 0.0000 0.0000
Hg1 0.0000 0.0000 0.5000
Ru1 0.0000 0.0000 0.2504
```

(8)
First-principles (PBE) data for a geometry-optimized BaLiLa2 structure, as listed in Alexandria.

Properties
**ΔE to the lowest computed polymorph**: 148 meV/atom
**Total DFT energy (no corrections)**: -0.234 Ry per atom

```
data_BaLiLa2
_chemical_formula_sum 'Ba2 Li2 La4'
_cell_length_a 5.026
_cell_length_b 5.026
_cell_length_c 12.117
_cell_angle_alpha 90.00
_cell_angle_beta 90.00
_cell_angle_gamma 90.00
_symmetry_space_group_name_H-M 'I 4/m m m'
_symmetry_Int_Tables_number 139
_symmetry_space_group_name_Hall '-I 4 2'
loop_
_atom_site_label
_atom_site_fract_x
_atom_site_fract_y
_atom_site_fract_z
Ba1 0.000 0.000 0.000
Li1 0.000 0.000 0.500
La1 0.000 0.500 0.250
```

Which value of total DFT energy (no corrections) does entry 5 give?
-0.200 Ry per atom

Which value of total DFT energy (no corrections) does entry 4 give?
-0.547 Ry per atom

Which value of total DFT energy (no corrections) does entry 2 give?
-0.382 Ry per atom

What is the total DFT energy (no corrections) in the second record?
-0.382 Ry per atom